# PBE Na3Ga4Si2, optimized geometry
data_Na3Ga4Si2
_cell_length_a 11.7879
_cell_length_b 4.1515
_cell_length_c 8.6619
_cell_angle_alpha 90.00
_cell_angle_beta 96.74
_cell_angle_gamma 90.00
_symmetry_space_group_name_H-M 'C 1 2/m 1'
_symmetry_Int_Tables_number 12
loop_
_symmetry_equiv_pos_as_xyz
'x,y,z'
'-x,-y,-z'
'-x,y,-z'
'x,-y,z'
'x+1/2,y+1/2,z'
'-x+1/2,-y+1/2,-z'
'-x+1/2,y+1/2,-z'
'x+1/2,-y+1/2,z'
loop_
_atom_site_label
_atom_site_type_symbol
_atom_site_fract_x
_atom_site_fract_y
_atom_site_fract_z
Na1 Na 0.0000 0.0000 0.0000
Na2 Na 0.1694 0.5000 0.6624
Ga1 Ga 0.0548 0.0000 0.3864
Ga2 Ga 0.2209 0.5000 0.0607
Si1 Si 0.1116 0.5000 0.2767
# total DFT energy (no corrections)	-0.11220	hartree per atom
# formation energy without anion corrections	-0.57	eV/f.u.
# DOS(E_F)	4.87	states/eV/cell



# PBE NaGaSi, optimized geometry
data_NaGaSi
_cell_length_a 4.1248
_cell_length_b 4.1248
_cell_length_c 4.7725
_cell_angle_alpha 90.00
_cell_angle_beta 90.00
_cell_angle_gamma 120.00
_symmetry_space_group_name_H-M 'P -6 m 2'
_symmetry_Int_Tables_number 187
_symmetry_space_group_name_Hall 'P -6 2'
loop_
_atom_site_label
_atom_site_type_symbol
_atom_site_fract_x
_atom_site_fract_y
_atom_site_fract_z
Na1 Na 0.0000 0.0000 0.0000
Ga1 Ga 0.6667 0.3333 0.5000
Si1 Si 0.3333 0.6667 0.5000
# total DFT energy (no corrections)	-0.12165	hartree per atom
# formation energy without anion corrections	-0.16	eV/f.u.
# DOS(E_F)	0.85	states/eV/cell